Record 1
# Na2ScCuHg PBE-GGA optimized geometry
data_Na2ScCuHg
_chemical_formula_sum 'Na2 Sc1 Cu1 Hg1'
_space_group_name_H-M_alt 'P 4/m m m'
_space_group_IT_number 123
_space_group_name_Hall '-P 4 2'
_cell_length_a 5.428
_cell_length_b 5.428
_cell_length_c 5.451
_cell_angle_alpha 90.00
_cell_angle_beta 90.00
_cell_angle_gamma 90.00
loop_
_atom_site_label
_atom_site_fract_x
_atom_site_fract_y
_atom_site_fract_z
Na1 0.000 0.500 0.000
Sc1 0.000 0.000 0.500
Cu1 0.500 0.500 0.500
Hg1 0.000 0.000 0.000
# * formation energy from the elements: 0.572 eV/atom
# * calculated volume: 161 Å³/cell



Record 2
# NaCuSi2Hg PBE-GGA optimized geometry
data_NaCuSi2Hg
_chemical_formula_sum 'Na1 Cu1 Si2 Hg1'
_space_group_name_H-M_alt 'P 4/m m m'
_space_group_IT_number 123
_space_group_name_Hall '-P 4 2'
_cell_length_a 4.478
_cell_length_b 4.478
_cell_length_c 5.495
_cell_angle_alpha 90.00
_cell_angle_beta 90.00
_cell_angle_gamma 90.00
loop_
_atom_site_label
_atom_site_fract_x
_atom_site_fract_y
_atom_site_fract_z
Na1 0.000 0.000 0.000
Cu1 0.000 0.000 0.500
Si1 0.000 0.500 0.500
Hg1 0.500 0.500 0.000
# * energy relative to the elements, uncorrected: 0.37 eV per atom
# * calculated volume: 110 Å³/cell



Record 3
# NaCuSnHg PBE-GGA optimized geometry
data_NaCuSnHg
_chemical_formula_sum 'Na4 Cu4 Sn4 Hg4'
_space_group_name_H-M_alt 'F -4 3 m'
_space_group_IT_number 216
_space_group_name_Hall 'F -4 2 3'
_cell_length_a 7.008
_cell_length_b 7.008
_cell_length_c 7.008
_cell_angle_alpha 90.00
_cell_angle_beta 90.00
_cell_angle_gamma 90.00
loop_
_atom_site_label
_atom_site_fract_x
_atom_site_fract_y
_atom_site_fract_z
Na1 0.000 0.000 0.000
Cu1 0.250 0.250 0.750
Sn1 0.000 0.000 0.500
Hg1 0.250 0.250 0.250
# * formation energy from the elements: 0.046 eV/atom
# * calculated volume: 344 Å³/cell



Record 4
# NaSr2CuHg PBE-GGA optimized geometry
data_NaSr2CuHg
_chemical_formula_sum 'Na1 Sr2 Cu1 Hg1'
_space_group_name_H-M_alt 'P 4/m m m'
_space_group_IT_number 123
_space_group_name_Hall '-P 4 2'
_cell_length_a 5.996
_cell_length_b 5.996
_cell_length_c 5.051
_cell_angle_alpha 90.00
_cell_angle_beta 90.00
_cell_angle_gamma 90.00
loop_
_atom_site_label
_atom_site_fract_x
_atom_site_fract_y
_atom_site_fract_z
Na1 0.000 0.000 0.000
Sr1 0.000 0.500 0.500
Cu1 0.500 0.500 0.500
Hg1 0.500 0.500 0.000
# * formation energy from the elements: -0.070 eV/atom
# * calculated volume: 182 Å³/cell



Record 5
# NaSrCuHg PBE-GGA optimized geometry
data_NaSrCuHg
_chemical_formula_sum 'Na4 Sr4 Cu4 Hg4'
_space_group_name_H-M_alt 'F -4 3 m'
_space_group_IT_number 216
_space_group_name_Hall 'F -4 2 3'
_cell_length_a 7.579
_cell_length_b 7.579
_cell_length_c 7.579
_cell_angle_alpha 90.00
_cell_angle_beta 90.00
_cell_angle_gamma 90.00
loop_
_atom_site_label
_atom_site_fract_x
_atom_site_fract_y
_atom_site_fract_z
Na1 0.000 0.000 0.000
Sr1 0.000 0.000 0.500
Cu1 0.250 0.250 0.250
Hg1 0.250 0.250 0.750
# * formation energy from the elements: -0.085 eV/atom
# * calculated volume: 435 Å³/cell



Record 6
# NaCuTc2Hg PBE-GGA optimized geometry
data_NaCuTc2Hg
_chemical_formula_sum 'Na1 Cu1 Tc2 Hg1'
_space_group_name_H-M_alt 'P 4/m m m'
_space_group_IT_number 123
_space_group_name_Hall '-P 4 2'
_cell_length_a 5.228
_cell_length_b 5.228
_cell_length_c 4.916
_cell_angle_alpha 90.00
_cell_angle_beta 90.00
_cell_angle_gamma 90.00
loop_
_atom_site_label
_atom_site_fract_x
_atom_site_fract_y
_atom_site_fract_z
Na1 0.000 0.000 0.000
Cu1 0.500 0.500 0.000
Tc1 0.000 0.500 0.500
Hg1 0.500 0.500 0.500
# * formation energy from the elements: 1.759 eV/atom
# * calculated volume: 134 Å³/cell



Record 7
# NaTlCuHg2 PBE-GGA optimized geometry
data_NaTlCuHg2
_chemical_formula_sum 'Na1 Tl1 Cu1 Hg2'
_space_group_name_H-M_alt 'P 4/m m m'
_space_group_IT_number 123
_space_group_name_Hall '-P 4 2'
_cell_length_a 5.160
_cell_length_b 5.160
_cell_length_c 5.254
_cell_angle_alpha 90.00
_cell_angle_beta 90.00
_cell_angle_gamma 90.00
loop_
_atom_site_label
_atom_site_fract_x
_atom_site_fract_y
_atom_site_fract_z
Na1 0.000 0.000 0.000
Tl1 0.500 0.500 0.000
Cu1 0.500 0.500 0.500
Hg1 0.000 0.500 0.500
# * formation energy from the elements: 0.046 eV/atom
# * calculated volume: 140 Å³/cell



Record 8
# Na2TlCuHg PBE-GGA optimized geometry
data_Na2TlCuHg
_chemical_formula_sum 'Na2 Tl1 Cu1 Hg1'
_space_group_name_H-M_alt 'P 4/m m m'
_space_group_IT_number 123
_space_group_name_Hall '-P 4 2'
_cell_length_a 5.980
_cell_length_b 5.980
_cell_length_c 4.959
_cell_angle_alpha 90.00
_cell_angle_beta 90.00
_cell_angle_gamma 90.00
loop_
_atom_site_label
_atom_site_fract_x
_atom_site_fract_y
_atom_site_fract_z
Na1 0.000 0.500 0.000
Tl1 0.000 0.000 0.000
Cu1 0.000 0.000 0.500
Hg1 0.500 0.500 0.500
# * formation energy from the elements: 0.290 eV/atom
# * calculated volume: 177 Å³/cell



Record 9
# NaYCuHg PBE-GGA optimized geometry
data_NaYCuHg
_chemical_formula_sum 'Na4 Y4 Cu4 Hg4'
_space_group_name_H-M_alt 'F -4 3 m'
_space_group_IT_number 216
_space_group_name_Hall 'F -4 2 3'
_cell_length_a 7.112
_cell_length_b 7.112
_cell_length_c 7.112
_cell_angle_alpha 90.00
_cell_angle_beta 90.00
_cell_angle_gamma 90.00
loop_
_atom_site_label
_atom_site_fract_x
_atom_site_fract_y
_atom_site_fract_z
Na1 0.000 0.000 0.000
Y1 0.000 0.000 0.500
Cu1 0.250 0.250 0.250
Hg1 0.250 0.250 0.750
# * formation energy from the elements: -0.095 eV/atom
# * calculated volume: 360 Å³/cell



Record 10
# NaZnCuHg2 PBE-GGA optimized geometry
data_NaZnCuHg2
_chemical_formula_sum 'Na1 Zn1 Cu1 Hg2'
_space_group_name_H-M_alt 'P 4/m m m'
_space_group_IT_number 123
_space_group_name_Hall '-P 4 2'
_cell_length_a 5.120
_cell_length_b 5.120
_cell_length_c 4.757
_cell_angle_alpha 90.00
_cell_angle_beta 90.00
_cell_angle_gamma 90.00
loop_
_atom_site_label
_atom_site_fract_x
_atom_site_fract_y
_atom_site_fract_z
Na1 0.000 0.000 0.000
Zn1 0.500 0.500 0.000
Cu1 0.500 0.500 0.500
Hg1 0.000 0.500 0.500
# * formation energy from the elements: 0.051 eV/atom
# * calculated volume: 125 Å³/cell



Record 11
# NbCu3Hg PBE-GGA optimized geometry
data_NbCu3Hg
_chemical_formula_sum 'Nb1 Cu3 Hg1'
_space_group_name_H-M_alt 'P m -3 m'
_space_group_IT_number 221
_space_group_name_Hall '-P 4 2 3'
_cell_length_a 4.846
_cell_length_b 4.846
_cell_length_c 4.846
_cell_angle_alpha 90.00
_cell_angle_beta 90.00
_cell_angle_gamma 90.00
loop_
_atom_site_label
_atom_site_fract_x
_atom_site_fract_y
_atom_site_fract_z
Nb1 0.000 0.000 0.000
Cu1 0.000 0.000 0.500
Hg1 0.500 0.500 0.500
# * ΔE to the lowest computed polymorph: 50 meV/atom
# * formation energy from the elements: 1.345 eV/atom
# * calculated volume: 114 Å³/cell



Record 12
# NbCuHg3 PBE-GGA optimized geometry
data_NbCuHg3
_chemical_formula_sum 'Nb1 Cu1 Hg3'
_space_group_name_H-M_alt 'P m -3 m'
_space_group_IT_number 221
_space_group_name_Hall '-P 4 2 3'
_cell_length_a 4.818
_cell_length_b 4.818
_cell_length_c 4.818
_cell_angle_alpha 90.00
_cell_angle_beta 90.00
_cell_angle_gamma 90.00
loop_
_atom_site_label
_atom_site_fract_x
_atom_site_fract_y
_atom_site_fract_z
Nb1 0.000 0.000 0.000
Cu1 0.500 0.500 0.500
Hg1 0.000 0.500 0.500
# * ΔE to the lowest computed polymorph: 0 meV/atom
# * formation energy from the elements: 0.867 eV/atom
# * calculated volume: 112 Å³/cell